Below is a geometry-optimized CrP2Ru structure, with properties calculated at the PBE-GGA level.

abc: 2.879 2.879 7.397
angles: 90.00 90.00 120.14
Each line ends with the local moment (μB).
Element x y z (fractional)
Cr 0.500 0.500 0.750  0.90
P 0.000 0.000 0.508  -0.03
P 0.000 0.000 0.992  -0.03
Ru 0.500 0.500 0.250  -0.01

Properties
Space group: Cmmm, No. 65
Relative energy among the computed polymorphs: 513 meV/atom
ρ: 6.73 g/cm³
E_form: 86 meV per atom
Magnetization: 0.849 μB per cell